# SiP2Br | Alexandria | GGA-PBE | relaxed
# - energy relative to the lowest polymorph listed for this composition (meV per atom) = 774
# - formation energy (no corrections) (eV per atom) = 0.842
data_SiP2Br
_cell_length_a 6.537
_cell_length_b 6.537
_cell_length_c 6.537
_cell_angle_alpha 90.00
_cell_angle_beta 90.00
_cell_angle_gamma 90.00
_space_group_name_H-M_alt 'F -4 3 m'
_space_group_IT_number 216
_space_group_name_Hall 'F -4 2 3'
loop_
_atom_site_label
_atom_site_type_symbol
_atom_site_fract_x
_atom_site_fract_y
_atom_site_fract_z
Si1 Si 0.000 0.000 0.000
P1 P 0.000 0.000 0.500
P2 P 0.250 0.250 0.750
Br1 Br 0.250 0.250 0.250



# SiP2Br | Alexandria | GGA-PBE | relaxed
# - energy relative to the lowest polymorph listed for this composition (meV per atom) = 535
# - formation energy (no corrections) (eV per atom) = 0.603
data_SiP2Br
_cell_length_a 5.195
_cell_length_b 7.658
_cell_length_c 4.616
_cell_angle_alpha 90.00
_cell_angle_beta 124.06
_cell_angle_gamma 90.00
_space_group_name_H-M_alt 'C 1 2/m 1'
_space_group_IT_number 12
loop_
_space_group_symop_operation_xyz
'x,y,z'
'-x,-y,-z'
'-x,y,-z'
'x,-y,z'
'x+1/2,y+1/2,z'
'-x+1/2,-y+1/2,-z'
'-x+1/2,y+1/2,-z'
'x+1/2,-y+1/2,z'
loop_
_atom_site_label
_atom_site_type_symbol
_atom_site_fract_x
_atom_site_fract_y
_atom_site_fract_z
Si1 Si 0.000 0.000 0.000
P1 P 0.250 0.250 0.500
Br1 Br 0.000 0.500 0.000



# SiP2Br | Alexandria | GGA-PBE | relaxed
# - energy relative to the lowest polymorph listed for this composition (meV per atom) = 831
# - formation energy (no corrections) (eV per atom) = 0.899
data_SiP2Br
_cell_length_a 6.490
_cell_length_b 6.490
_cell_length_c 6.490
_cell_angle_alpha 90.00
_cell_angle_beta 90.00
_cell_angle_gamma 90.00
_space_group_name_H-M_alt 'F m -3 m'
_space_group_IT_number 225
_space_group_name_Hall '-F 4 2 3'
loop_
_atom_site_label
_atom_site_type_symbol
_atom_site_fract_x
_atom_site_fract_y
_atom_site_fract_z
Si1 Si 0.000 0.000 0.000
P1 P 0.250 0.250 0.250
Br1 Br 0.000 0.000 0.500



# Sm8Si3PBr4 | Alexandria | GGA-PBE | relaxed
# - formation energy (no corrections) (eV per atom) = -1.173
data_Sm8Si3PBr4
_cell_length_a 8.3779
_cell_length_b 8.3779
_cell_length_c 21.8000
_cell_angle_alpha 90.00
_cell_angle_beta 90.00
_cell_angle_gamma 120.00
_space_group_name_H-M_alt 'R -3 m'
_space_group_IT_number 166
_space_group_name_Hall '-R 3 2"'
loop_
_atom_site_label
_atom_site_type_symbol
_atom_site_fract_x
_atom_site_fract_y
_atom_site_fract_z
Sm1 Sm 0.0000 0.0000 0.2363
Sm2 Sm 0.0024 0.5012 0.2349
Si1 Si 0.0000 0.5000 0.5000
P1 P 0.0000 0.0000 0.5000
Br1 Br 0.0000 0.0000 0.0000
Br2 Br 0.0000 0.5000 0.0000



# ZrSiP2Br | Alexandria | GGA-PBE | relaxed
# - formation energy (no corrections) (eV per atom) = 0.371
data_ZrSiP2Br
_cell_length_a 4.444
_cell_length_b 4.444
_cell_length_c 5.323
_cell_angle_alpha 90.00
_cell_angle_beta 90.00
_cell_angle_gamma 90.00
_space_group_name_H-M_alt 'P 4/m m m'
_space_group_IT_number 123
_space_group_name_Hall '-P 4 2'
loop_
_atom_site_label
_atom_site_type_symbol
_atom_site_fract_x
_atom_site_fract_y
_atom_site_fract_z
Zr1 Zr 0.000 0.000 0.000
Si1 Si 0.000 0.000 0.500
P1 P 0.000 0.500 0.500
Br1 Br 0.500 0.500 0.000



# Zr2SiPBr | Alexandria | GGA-PBE | relaxed
# - formation energy (no corrections) (eV per atom) = 0.036
data_Zr2SiPBr
_cell_length_a 5.010
_cell_length_b 5.010
_cell_length_c 4.363
_cell_angle_alpha 90.00
_cell_angle_beta 90.00
_cell_angle_gamma 90.00
_space_group_name_H-M_alt 'P 4/m m m'
_space_group_IT_number 123
_space_group_name_Hall '-P 4 2'
loop_
_atom_site_label
_atom_site_type_symbol
_atom_site_fract_x
_atom_site_fract_y
_atom_site_fract_z
Zr1 Zr 0.000 0.500 0.000
Si1 Si 0.000 0.000 0.500
P1 P 0.000 0.000 0.000
Br1 Br 0.500 0.500 0.500



> What is the formation energy (no corrections) in the first record?

0.842 eV per atom